1.
Material: LiSc2Ir
Method: DFT, meta-GGA SCAN
State: PBEsol geometry

Cell lengths 5.802, 5.873, 5.873 Å; angles 75.88, 60.40, 60.40 degrees
Positions (direct):
Sc 0.102 0.023 0.523
Sc 0.375 0.523 0.977
Sc 0.648 0.977 0.477
Sc 0.875 0.477 0.023
Li 0.250 0.500 0.500
Li 0.500 0.000 0.000
Ir 0.000 0.000 0.000
Ir 0.750 0.500 0.500

Computed properties:
space group = I-42d, No. 122
ΔH_f (0 K) = -0.222 eV/atom
uncorrected energy = -205.7 eV/cell



2.
Material: Li2ScIr
Method: DFT, meta-GGA SCAN
State: PBEsol geometry

Cell lengths 3.154, 4.223, 5.447 Å; angles 112.76, 106.83, 90.00 degrees
Positions (direct):
Sc 0.000 0.500 0.000
Ir 0.500 0.000 0.000
Li 0.226 0.225 0.451
Li 0.774 0.775 0.549

Computed properties:
space group = Immm, No. 71
ΔH_f (0 K) = -0.439 eV/atom
uncorrected energy = -91.9 eV/cell



3.
Material: LiSc2Ir
Method: DFT, meta-GGA SCAN
State: PBEsol geometry

Cell lengths 2.939, 2.939, 10.316 Å; angles 81.81, 81.81, 60.00 degrees
Positions (direct):
Sc 0.920 0.920 0.240
Sc 0.080 0.080 0.760
Li 0.500 0.500 0.500
Ir 0.000 0.000 0.000

Computed properties:
space group = R-3m, No. 166
ΔH_f (0 K) = 0.263 eV/atom
uncorrected energy = -100.9 eV/cell



4.
Material: LiIrSe2
Method: DFT, meta-GGA SCAN
State: PBEsol geometry

Cell lengths 2.971, 4.565, 4.565 Å; angles 90.00, 90.00, 90.00 degrees
Positions (direct):
Se 0.000 0.000 0.500
Se 0.000 0.500 0.000
Li 0.500 0.000 0.000
Ir 0.500 0.500 0.500

Computed properties:
uncorrected formation energy = -0.125 eV per atom
space group = P4/mmm, No. 123
uncorrected energy = -114.1 eV/cell



Question: What is the formula in the second record?
Answer: Li2ScIr



What did the second record say?
Material: Li2ScIr
Method: DFT, meta-GGA SCAN
State: PBEsol geometry

Cell lengths 3.154, 4.223, 5.447 Å; angles 112.76, 106.83, 90.00 degrees
Positions (direct):
Sc 0.000 0.500 0.000
Ir 0.500 0.000 0.000
Li 0.226 0.225 0.451
Li 0.774 0.775 0.549

Computed properties:
space group = Immm, No. 71
ΔH_f (0 K) = -0.439 eV/atom
uncorrected energy = -91.9 eV/cell



Question: The highest uncorrected energy belongs to which entry?
Answer: Li2ScIr